Entry from the Alexandria database: a geometry-optimized TlVZnO4 structure (PBE+U).

Cell: 5.888 5.963 6.981 Å, 90.00 102.01 90.00°
Space group P2_1/m (No. 11)
Unique sites:
Tl (0.245, 0.250, 0.438) x2
V (0.186, 0.750, 0.095) x2
Zn (0.356, 0.250, 0.966) x2
O (0.048, 0.250, 0.786) x2
O (0.090, 0.750, 0.852) x2
O (0.380, 0.516, 0.154) x4

Summary:
* magnetization: 0.00 Bohr magnetons per cell
* calculated total energy: -5.885 eV/atom
* N(E_F): 0.000 states/eV/cell